Record 1
La5TlTe8 | PBEsol | optimized geometry

a = 8.299 Å, b = 8.299 Å, c = 8.299 Å
α = 109.35°, β = 109.35°, γ = 109.72°
Fractional positions:
La 0.000 0.000 0.000
La 0.250 0.628 0.118
La 0.372 0.490 0.622
La 0.510 0.131 0.882
La 0.869 0.750 0.378
Tl 0.750 0.250 0.500
Te 0.130 0.217 0.756
Te 0.135 0.732 0.754
Te 0.268 0.021 0.402
Te 0.462 0.374 0.244
Te 0.619 0.865 0.598
Te 0.626 0.870 0.088
Te 0.783 0.538 0.912
Te 0.979 0.381 0.246

Properties
SG: No. 82
Formation energy (no corrections): -1.4758 eV/atom

***

Record 2
Rb2NiAu | PBEsol | optimized geometry

a = 5.655 Å, b = 5.655 Å, c = 5.655 Å
α = 60.00°, β = 60.00°, γ = 60.00°
Fractional positions:
Rb 0.250 0.250 0.250
Rb 0.750 0.750 0.750
Ni 0.000 0.000 0.000
Au 0.500 0.500 0.500

Properties
Energy of formation: 0.634 eV/atom
SG: No. 225
DOS(E_F): 6.762 states/eV/f.u.

***

Record 3
PtAu | PBEsol | optimized geometry

a = 4.920 Å, b = 4.920 Å, c = 4.920 Å
α = 33.19°, β = 33.19°, γ = 33.19°
Fractional positions:
Pt 0.000 0.000 0.000
Au 0.500 0.500 0.500

Properties
Energy of formation: 0.030 eV/atom
SG: No. 166
DOS(E_F): 1.243 states/eV/f.u.

***

Record 4
ScHg2Os | PBEsol | optimized geometry

a = 5.122 Å, b = 5.122 Å, c = 5.122 Å
α = 132.74°, β = 132.74°, γ = 69.07°
Fractional positions:
Sc 0.000 0.000 0.000
Hg 0.500 0.500 0.000
Hg 0.750 0.250 0.500
Os 0.250 0.750 0.500

Properties
Energy of formation: 0.071 eV/atom
SG: No. 119
E above lowest polymorph: 25.4 meV per atom
DOS(E_F): 1.946 states/eV/f.u.

***

Record 5
La2SiRu | PBEsol | optimized geometry

a = 3.826 Å, b = 6.095 Å, c = 6.095 Å
α = 42.13°, β = 90.00°, γ = 90.00°
Fractional positions:
La 0.000 0.000 0.000
La 0.500 0.276 0.276
Si 0.500 0.588 0.588
Ru 0.000 0.722 0.722

Properties
SG: No. 38
Formation energy (no corrections): -0.5120 eV/atom
DOS(E_F): 2.530 states/eV/f.u.

***

Record 6
P2RhAuCl | PBEsol | optimized geometry

a = 4.676 Å, b = 4.676 Å, c = 4.807 Å
α = 90.00°, β = 90.00°, γ = 90.00°
Fractional positions:
P 0.000 0.500 0.000
P 0.500 0.000 0.000
Rh 0.000 0.000 0.500
Au 0.500 0.500 0.000
Cl 0.500 0.500 0.500

Properties
SG: No. 123
Formation energy (no corrections): 1.3317 eV/atom
DOS(E_F): 5.907 states/eV/f.u.

***

Record 7
MnRe2Ni | PBEsol | optimized geometry

a = 3.073 Å, b = 3.073 Å, c = 5.411 Å
α = 90.00°, β = 90.00°, γ = 90.00°
Fractional positions:
Mn 0.000 0.000 0.000
Re 0.000 0.000 0.452
Re 0.500 0.500 0.730
Ni 0.500 0.500 0.203

Properties
Energy of formation: 0.101 eV/atom
SG: No. 99
E above lowest polymorph: 56.6 meV per atom
DOS(E_F): 3.541 states/eV/f.u.

***

Record 8
Si2TcOs | PBEsol | optimized geometry

a = 5.362 Å, b = 5.362 Å, c = 5.362 Å
α = 106.94°, β = 106.94°, γ = 114.66°
Fractional positions:
Si 0.116 0.125 0.491
Si 0.375 0.884 0.009
Si 0.634 0.625 0.509
Si 0.875 0.366 0.991
Tc 0.250 0.750 0.500
Tc 0.500 0.500 0.000
Os 0.000 0.000 0.000
Os 0.750 0.250 0.500

Properties
SG: No. 122
E above lowest polymorph: 954.2 meV per atom
Formation energy (no corrections): 0.4567 eV/atom
DOS(E_F): 4.740 states/eV/f.u.

***

In μB per atom, the total magnetic moment values for the records above are, in order, 0.00, 0.24, 0.00, 0.00, 0.00, 0.12, 0.44, 0.00.
In g/cm3, the mass density values for the records above are, in order, 7.25, 5.54, 20.49, 14.85, 7.09, 6.28, 15.80, 9.70.
In eV for the cell shown, the E values for the records above are, in order, -78.2, -9.6, -10.8, -19.7, -28.7, -19.0, -42.2, -66.3.